1.
CsHo2B2S6, relaxed, DFT PBE-GGA; N(E_F) = 0.321 states/eV/atom; energy = -5.471 eV per atom; symmetry = No. 12; formation energy (no corrections) = -1.096 eV/atom
1.0
6.445 -3.549 0.000
6.445 3.549 0.000
-3.677 0.000 6.337
Cs Ho B S
1 2 2 6
direct
0.000 0.000 0.000
0.329 0.329 0.673
0.671 0.671 0.327
0.352 0.352 0.264
0.648 0.648 0.736
0.105 0.541 0.362
0.428 0.428 0.110
0.459 0.895 0.638
0.541 0.105 0.362
0.572 0.572 0.890
0.895 0.459 0.638

***

2.
Hg2Pd7Au3, relaxed, DFT PBE-GGA; N(E_F) = 0.916 states/eV/atom; energy = -3.874 eV per atom; symmetry = No. 10; energy of formation = 0.0249 eV per atom
1.0
4.679 0.000 0.000
0.000 2.850 0.000
-0.394 0.000 16.262
Hg Pd Au
2 7 3
direct
0.230 0.000 0.287
0.770 0.000 0.713
0.000 0.500 0.000
0.139 0.000 0.853
0.246 0.000 0.453
0.365 0.500 0.145
0.635 0.500 0.855
0.754 0.000 0.547
0.861 0.000 0.147
0.259 0.500 0.608
0.500 0.000 0.000
0.741 0.500 0.392

***

3.
H2WCl5, relaxed, DFT PBE-GGA; N(E_F) = 0.229 states/eV/atom; energy = -3.932 eV per atom; symmetry = No. 11
1.0
6.251 0.000 0.000
0.000 11.894 0.000
-3.066 0.000 6.642
H W Cl
4 2 10
direct
0.005 0.168 0.494
0.005 0.332 0.494
0.995 0.668 0.506
0.995 0.832 0.506
0.471 0.750 0.230
0.529 0.250 0.770
0.210 0.750 0.549
0.244 0.111 0.539
0.244 0.389 0.539
0.250 0.603 0.054
0.250 0.897 0.054
0.750 0.103 0.946
0.750 0.397 0.946
0.756 0.611 0.461
0.756 0.889 0.461
0.790 0.250 0.451

***

> Among the records above, which one has the lowest N(E_F)?

H2WCl5

***

> Which of these has the lowest N(E_F)?

H2WCl5